Record 1
# TeAsOsO (PBE, optimized geometry)
# calculated volume: 93.64 Å³/f.u.
data_TeAsOsO
_symmetry_space_group_name_H-M 'P m c 21'
_symmetry_Int_Tables_number 26
_symmetry_space_group_name_Hall 'P 2c -2'
_cell_length_a 4.074
_cell_length_b 6.270
_cell_length_c 7.331
_cell_angle_alpha 90.00
_cell_angle_beta 90.00
_cell_angle_gamma 90.00
loop_
_atom_site_label
_atom_site_type_symbol
_atom_site_fract_x
_atom_site_fract_y
_atom_site_fract_z
Te1 Te 0.000 0.218 0.000
As1 As 0.000 0.269 0.369
Os1 Os 0.500 0.498 0.422
O1 O 0.500 0.441 0.673

Record 2
# TlAsOsO (PBE, optimized geometry)
# calculated volume: 81.43 Å³/f.u.
data_TlAsOsO
_symmetry_space_group_name_H-M 'P m c 21'
_symmetry_Int_Tables_number 26
_symmetry_space_group_name_Hall 'P 2c -2'
_cell_length_a 3.568
_cell_length_b 8.239
_cell_length_c 5.541
_cell_angle_alpha 90.00
_cell_angle_beta 90.00
_cell_angle_gamma 90.00
loop_
_atom_site_label
_atom_site_type_symbol
_atom_site_fract_x
_atom_site_fract_y
_atom_site_fract_z
Tl1 Tl 0.000 0.117 0.000
As1 As 0.000 0.340 0.448
Os1 Os 0.500 0.472 0.666
O1 O 0.500 0.324 0.955

Record 3
# TlAsOsO (PBE, optimized geometry)
# calculated volume: 72.48 Å³/f.u.
data_TlAsOsO
_symmetry_space_group_name_H-M 'P 4/n m m'
_symmetry_Int_Tables_number 129
_cell_length_a 4.046
_cell_length_b 4.046
_cell_length_c 8.853
_cell_angle_alpha 90.00
_cell_angle_beta 90.00
_cell_angle_gamma 90.00
loop_
_symmetry_equiv_pos_as_xyz
'x,y,z'
'-x,-y,-z'
'-y+1/2,x,z'
'y+1/2,-x,-z'
'-x+1/2,-y+1/2,z'
'x+1/2,y+1/2,-z'
'y,-x+1/2,z'
'-y,x+1/2,-z'
'x+1/2,-y,-z'
'-x+1/2,y,z'
'-y,-x,-z'
'y,x,z'
'-x,y+1/2,-z'
'x,-y+1/2,z'
'y+1/2,x+1/2,-z'
'-y+1/2,-x+1/2,z'
loop_
_atom_site_label
_atom_site_type_symbol
_atom_site_fract_x
_atom_site_fract_y
_atom_site_fract_z
Tl1 Tl 0.250 0.250 0.123
As1 As 0.250 0.250 0.666
Os1 Os 0.250 0.750 0.500
O1 O 0.250 0.750 0.000

Record 4
# TlAsOsO (PBE, optimized geometry)
# calculated volume: 74.30 Å³/f.u.
data_TlAsOsO
_symmetry_space_group_name_H-M 'P 4/n m m'
_symmetry_Int_Tables_number 129
_cell_length_a 4.135
_cell_length_b 4.135
_cell_length_c 8.690
_cell_angle_alpha 90.00
_cell_angle_beta 90.00
_cell_angle_gamma 90.00
loop_
_symmetry_equiv_pos_as_xyz
'x,y,z'
'-x,-y,-z'
'-y+1/2,x,z'
'y+1/2,-x,-z'
'-x+1/2,-y+1/2,z'
'x+1/2,y+1/2,-z'
'y,-x+1/2,z'
'-y,x+1/2,-z'
'x+1/2,-y,-z'
'-x+1/2,y,z'
'-y,-x,-z'
'y,x,z'
'-x,y+1/2,-z'
'x,-y+1/2,z'
'y+1/2,x+1/2,-z'
'-y+1/2,-x+1/2,z'
loop_
_atom_site_label
_atom_site_type_symbol
_atom_site_fract_x
_atom_site_fract_y
_atom_site_fract_z
Tl1 Tl 0.250 0.750 0.000
As1 As 0.250 0.250 0.298
Os1 Os 0.250 0.250 0.578
O1 O 0.250 0.750 0.500

Record 5
# TlAsOsO (PBE, optimized geometry)
# calculated volume: 86.32 Å³/f.u.
data_TlAsOsO
_symmetry_space_group_name_H-M 'P m c 21'
_symmetry_Int_Tables_number 26
_symmetry_space_group_name_Hall 'P 2c -2'
_cell_length_a 3.723
_cell_length_b 7.743
_cell_length_c 5.990
_cell_angle_alpha 90.00
_cell_angle_beta 90.00
_cell_angle_gamma 90.00
loop_
_atom_site_label
_atom_site_type_symbol
_atom_site_fract_x
_atom_site_fract_y
_atom_site_fract_z
Tl1 Tl 0.000 0.077 0.000
As1 As 0.500 0.365 0.790
Os1 Os 0.500 0.335 0.391
O1 O 0.000 0.317 0.372

Record 6
# TmAsOsO (PBE, optimized geometry)
# calculated volume: 63.92 Å³/f.u.
data_TmAsOsO
_symmetry_space_group_name_H-M 'P m c 21'
_symmetry_Int_Tables_number 26
_symmetry_space_group_name_Hall 'P 2c -2'
_cell_length_a 4.318
_cell_length_b 4.581
_cell_length_c 6.464
_cell_angle_alpha 90.00
_cell_angle_beta 90.00
_cell_angle_gamma 90.00
loop_
_atom_site_label
_atom_site_type_symbol
_atom_site_fract_x
_atom_site_fract_y
_atom_site_fract_z
Tm1 Tm 0.000 0.224 0.000
As1 As 0.500 0.157 0.691
Os1 Os 0.500 0.341 0.339
O1 O 0.000 0.380 0.316

Record 7
# TmAsOsO (PBE, optimized geometry)
# calculated volume: 69.53 Å³/f.u.
data_TmAsOsO
_symmetry_space_group_name_H-M 'P m c 21'
_symmetry_Int_Tables_number 26
_symmetry_space_group_name_Hall 'P 2c -2'
_cell_length_a 4.122
_cell_length_b 5.931
_cell_length_c 5.689
_cell_angle_alpha 90.00
_cell_angle_beta 90.00
_cell_angle_gamma 90.00
loop_
_atom_site_label
_atom_site_type_symbol
_atom_site_fract_x
_atom_site_fract_y
_atom_site_fract_z
Tm1 Tm 0.000 0.193 0.000
As1 As 0.000 0.310 0.481
Os1 Os 0.500 0.496 0.204
O1 O 0.500 0.236 0.939

Record 8
# TmAsOsO (PBE, optimized geometry)
# calculated volume: 61.56 Å³/f.u.
data_TmAsOsO
_symmetry_space_group_name_H-M 'P 4/n m m'
_symmetry_Int_Tables_number 129
_cell_length_a 4.290
_cell_length_b 4.290
_cell_length_c 6.688
_cell_angle_alpha 90.00
_cell_angle_beta 90.00
_cell_angle_gamma 90.00
loop_
_symmetry_equiv_pos_as_xyz
'x,y,z'
'-x,-y,-z'
'-y+1/2,x,z'
'y+1/2,-x,-z'
'-x+1/2,-y+1/2,z'
'x+1/2,y+1/2,-z'
'y,-x+1/2,z'
'-y,x+1/2,-z'
'x+1/2,-y,-z'
'-x+1/2,y,z'
'-y,-x,-z'
'y,x,z'
'-x,y+1/2,-z'
'x,-y+1/2,z'
'y+1/2,x+1/2,-z'
'-y+1/2,-x+1/2,z'
loop_
_atom_site_label
_atom_site_type_symbol
_atom_site_fract_x
_atom_site_fract_y
_atom_site_fract_z
Tm1 Tm 0.250 0.750 0.000
As1 As 0.250 0.250 0.282
Os1 Os 0.250 0.250 0.652
O1 O 0.250 0.750 0.500

Record 9
# TmAsOsO (PBE, optimized geometry)
# calculated volume: 64.00 Å³/f.u.
data_TmAsOsO
_symmetry_space_group_name_H-M 'P 4/n m m'
_symmetry_Int_Tables_number 129
_cell_length_a 4.036
_cell_length_b 4.036
_cell_length_c 7.859
_cell_angle_alpha 90.00
_cell_angle_beta 90.00
_cell_angle_gamma 90.00
loop_
_symmetry_equiv_pos_as_xyz
'x,y,z'
'-x,-y,-z'
'-y+1/2,x,z'
'y+1/2,-x,-z'
'-x+1/2,-y+1/2,z'
'x+1/2,y+1/2,-z'
'y,-x+1/2,z'
'-y,x+1/2,-z'
'x+1/2,-y,-z'
'-x+1/2,y,z'
'-y,-x,-z'
'y,x,z'
'-x,y+1/2,-z'
'x,-y+1/2,z'
'y+1/2,x+1/2,-z'
'-y+1/2,-x+1/2,z'
loop_
_atom_site_label
_atom_site_type_symbol
_atom_site_fract_x
_atom_site_fract_y
_atom_site_fract_z
Tm1 Tm 0.250 0.250 0.127
As1 As 0.250 0.250 0.677
Os1 Os 0.250 0.750 0.500
O1 O 0.250 0.750 0.000

Record 10
# ZrAsOsO (PBE, optimized geometry)
# calculated volume: 65.55 Å³/f.u.
data_ZrAsOsO
_symmetry_space_group_name_H-M 'P m c 21'
_symmetry_Int_Tables_number 26
_symmetry_space_group_name_Hall 'P 2c -2'
_cell_length_a 4.252
_cell_length_b 5.593
_cell_length_c 5.514
_cell_angle_alpha 90.00
_cell_angle_beta 90.00
_cell_angle_gamma 90.00
loop_
_atom_site_label
_atom_site_type_symbol
_atom_site_fract_x
_atom_site_fract_y
_atom_site_fract_z
Zr1 Zr 0.000 0.240 0.000
As1 As 0.000 0.261 0.503
Os1 Os 0.500 0.458 0.696
O1 O 0.500 0.218 0.983

Record 11
# ZrAsOsO (PBE, optimized geometry)
# calculated volume: 58.18 Å³/f.u.
data_ZrAsOsO
_symmetry_space_group_name_H-M 'P 4/n m m'
_symmetry_Int_Tables_number 129
_cell_length_a 4.105
_cell_length_b 4.105
_cell_length_c 6.907
_cell_angle_alpha 90.00
_cell_angle_beta 90.00
_cell_angle_gamma 90.00
loop_
_symmetry_equiv_pos_as_xyz
'x,y,z'
'-x,-y,-z'
'-y+1/2,x,z'
'y+1/2,-x,-z'
'-x+1/2,-y+1/2,z'
'x+1/2,y+1/2,-z'
'y,-x+1/2,z'
'-y,x+1/2,-z'
'x+1/2,-y,-z'
'-x+1/2,y,z'
'-y,-x,-z'
'y,x,z'
'-x,y+1/2,-z'
'x,-y+1/2,z'
'y+1/2,x+1/2,-z'
'-y+1/2,-x+1/2,z'
loop_
_atom_site_label
_atom_site_type_symbol
_atom_site_fract_x
_atom_site_fract_y
_atom_site_fract_z
Zr1 Zr 0.250 0.750 0.000
As1 As 0.250 0.250 0.274
Os1 Os 0.250 0.250 0.650
O1 O 0.250 0.750 0.500

Record 12
# ZrAsOsO (PBE, optimized geometry)
# calculated volume: 61.60 Å³/f.u.
data_ZrAsOsO
_symmetry_space_group_name_H-M 'P m c 21'
_symmetry_Int_Tables_number 26
_symmetry_space_group_name_Hall 'P 2c -2'
_cell_length_a 4.163
_cell_length_b 4.669
_cell_length_c 6.339
_cell_angle_alpha 90.00
_cell_angle_beta 90.00
_cell_angle_gamma 90.00
loop_
_atom_site_label
_atom_site_type_symbol
_atom_site_fract_x
_atom_site_fract_y
_atom_site_fract_z
Zr1 Zr 0.000 0.223 0.000
As1 As 0.500 0.142 0.700
Os1 Os 0.500 0.355 0.349
O1 O 0.000 0.406 0.308

no.,calculated density (g cm⁻³),offset from the most stable computed form (meV/atom)
1,7.2,0
2,9.9,0
3,11.1,213
4,10.9,798
5,9.3,107
6,11.7,590
7,10.7,624
8,12.1,1774
9,11.7,0
10,9.4,334
11,10.6,1296
12,10.0,387